Entry 1:
Tm4Mg5Ag2: optimized geometry, GGA-PBE.

abc: 7.8491 3.4617 10.1893
angles: 90.00 93.32 90.00
Closest atoms and distances in Å follow each position.
Space group P2/m (No. 10)
Symmetry-distinct sites (fractional):
Tm 0.1606 0.0000 0.3751 x2  2 Ag 3.02, 4 Mg 3.29-3.36
Tm 0.2486 0.0000 0.9480 x2  4 Ag 3.05-3.08, 6 Mg 3.35-3.40
Mg 0.1947 0.5000 0.6623 x2  1 Ag 2.93, 2 Mg 2.99-3.13
Mg 0.4404 0.5000 0.1967 x2  1 Ag 3.00, 2 Mg 3.10-3.13, 2 Tm 3.35
Mg 0.5000 0.5000 0.5000 x1  4 Mg 2.99-3.10
Ag 0.0617 0.5000 0.1395 x2  2 Mg 2.93-3.00, 1 Ag 2.95, 6 Tm 3.02-3.08

Density of states at the Fermi level = 0.692 states/eV/atom
Mass density = 6.09 g/cm3
DFT total energy = -2.98 eV/atom



Entry 2:
TmMg2Ag: optimized geometry, GGA-PBE.

abc: 3.3929 3.3929 7.8652
angles: 90.00 90.00 90.00
Closest atoms and distances in Å follow each position.
Space group P4/mmm (No. 123)
Symmetry-distinct sites (fractional):
Tm 0.0000 0.0000 0.0000 x1  8 Mg 3.33, 4 Tm 3.39
Mg 0.5000 0.5000 0.2939 x2  4 Ag 2.90, 1 Mg 3.24
Ag 0.0000 0.0000 0.5000 x1  8 Mg 2.90

Density of states at the Fermi level = 0.810 states/eV/atom
Mass density = 5.97 g/cm3
DFT total energy = -2.75 eV/atom



Entry 3:
Tm3Mg2Ag3: optimized geometry, GGA-PBE.

abc: 3.4972 5.1449 20.5199
angles: 90.00 90.00 90.00
Closest atoms and distances in Å follow each position.
Space group Immm (No. 71)
Symmetry-distinct sites (fractional):
Tm 0.0000 0.0000 0.0000 x2  8 Ag 3.10-3.11
Tm 0.0000 0.5000 0.1230 x4  6 Ag 3.07-3.11, 2 Mg 3.39
Mg 0.0000 0.0000 0.2354 x4  2 Ag 2.87, 4 Mg 3.17
Ag 0.0000 0.0000 0.5000 x2  8 Tm 3.07-3.11
Ag 0.0000 0.5000 0.3752 x4  2 Mg 2.87, 6 Tm 3.10-3.11

Density of states at the Fermi level = 0.529 states/eV/atom
Mass density = 7.91 g/cm3
DFT total energy = -3.38 eV/atom



Entry 4:
Tm3Mg4Ag4: optimized geometry, GGA-PBE.

abc: 3.8859 8.2213 15.7366
angles: 90.00 90.00 90.00
Closest atoms and distances in Å follow each position.
Space group Immm (No. 71)
Symmetry-distinct sites (fractional):
Tm 0.0000 0.0000 0.0000 x2  4 Ag 3.15
Tm 0.0000 0.5000 0.1108 x4  6 Ag 3.02-3.08, 4 Mg 3.33
Mg 0.0000 0.3102 0.3313 x8  4 Ag 2.75-2.91
Ag 0.0000 0.0000 0.2426 x4  6 Mg 2.75-2.91, 2 Tm 3.02
Ag 0.0000 0.1977 0.5000 x4  2 Mg 2.81, 4 Tm 3.08

Density of states at the Fermi level = 0.752 states/eV/atom
Mass density = 6.84 g/cm3
DFT total energy = -3.04 eV/atom



Entry 5:
TmMgAg6: optimized geometry, GGA-PBE.

abc: 4.2532 4.2532 8.5050
angles: 90.00 90.00 90.00
Closest atoms and distances in Å follow each position.
Space group P4/mmm (No. 123)
Symmetry-distinct sites (fractional):
Tm 0.0000 0.0000 0.0000 x1  12 Ag 3.01-3.06
Mg 0.0000 0.0000 0.5000 x1  12 Ag 2.95-3.01
Ag 0.0000 0.5000 0.2588 x4  2 Mg 2.95, 8 Ag 2.95-3.06, 2 Tm 3.06
Ag 0.5000 0.5000 0.0000 x1  4 Tm 3.01, 8 Ag 3.06
Ag 0.5000 0.5000 0.5000 x1  8 Ag 2.95, 4 Mg 3.01

Density of states at the Fermi level = 0.593 states/eV/atom
Mass density = 9.07 g/cm3
Offset from the most stable computed form = 0.483 eV per formula unit



Entry 6:
TmMgAg6: optimized geometry, GGA-PBE.

abc: 9.5957 4.1312 8.5505
angles: 90.00 116.33 90.00
Closest atoms and distances in Å follow each position.
Space group C2/m (No. 12)
Symmetry-distinct sites (fractional):
Tm 0.0000 0.0000 0.0000 x2  12 Ag 3.00-3.06
Mg 0.0000 0.0000 0.5000 x2  12 Ag 2.92-3.01
Ag 0.0008 0.5000 0.7411 x4  2 Mg 2.92, 8 Ag 2.96-3.13, 2 Tm 3.03
Ag 0.2470 0.0000 0.8694 x4  8 Ag 2.96-3.13, 1 Mg 2.99, 3 Tm 3.00-3.04
Ag 0.2492 0.5000 0.6208 x4  8 Ag 2.93-2.99, 3 Mg 2.98-3.01, 1 Tm 3.06

Density of states at the Fermi level = 0.343 states/eV/atom
Mass density = 9.19 g/cm3
Offset from the most stable computed form = 0.000 eV per formula unit



Entry 7:
Tm5MgAg4: optimized geometry, GGA-PBE.

abc: 3.5937 3.5937 18.3183
angles: 90.00 90.00 90.00
Closest atoms and distances in Å follow each position.
Space group P4/mmm (No. 123)
Symmetry-distinct sites (fractional):
Tm 0.0000 0.0000 0.0000 x1  8 Ag 3.11
Tm 0.0000 0.0000 0.1965 x2  8 Ag 3.12-3.14
Tm 0.0000 0.0000 0.3916 x2  4 Ag 3.08, 4 Mg 3.23
Mg 0.5000 0.5000 0.5000 x1  8 Tm 3.23, 4 Mg 3.59
Ag 0.5000 0.5000 0.0979 x2  8 Tm 3.11-3.12
Ag 0.5000 0.5000 0.2969 x2  8 Tm 3.08-3.14

Density of states at the Fermi level = 0.676 states/eV/atom
Mass density = 9.13 g/cm3
DFT total energy = -3.81 eV/atom



Entry 8:
Tm4MgAg3: optimized geometry, GGA-PBE.

abc: 3.6294 5.1192 10.2268
angles: 90.00 90.00 90.00
Closest atoms and distances in Å follow each position.
Space group Pmmm (No. 47)
Symmetry-distinct sites (fractional):
Tm 0.0000 0.0000 0.0000 x1  8 Ag 3.14-3.21
Tm 0.0000 0.0000 0.5000 x1  4 Ag 3.06, 4 Mg 3.14
Tm 0.0000 0.5000 0.2413 x2  6 Ag 3.06-3.14, 2 Mg 3.21
Mg 0.5000 0.5000 0.5000 x1  8 Tm 3.14-3.21
Ag 0.5000 0.0000 0.2590 x2  8 Tm 3.06-3.21
Ag 0.5000 0.5000 0.0000 x1  8 Tm 3.06-3.14

Density of states at the Fermi level = 0.785 states/eV/atom
Mass density = 8.95 g/cm3
DFT total energy = -3.76 eV/atom



Entry 9:
Tm3MgAg: optimized geometry, GGA-PBE.

abc: 11.6321 6.3482 14.5510
angles: 90.00 96.13 90.00
Closest atoms and distances in Å follow each position.
Space group C2/c (No. 15)
Symmetry-distinct sites (fractional):
Tm 0.0668 0.1010 0.1089 x8  2 Ag 2.94-2.99, 2 Mg 3.17-3.22, 1 Tm 3.30
Tm 0.1625 0.1998 0.7961 x8  2 Ag 3.05-3.16, 2 Tm 3.40-3.41
Tm 0.1918 0.3166 0.3962 x8  2 Ag 2.97-3.18, 1 Mg 3.22, 2 Tm 3.29-3.30
Mg 0.0549 0.3946 0.5850 x8  1 Ag 2.84, 1 Mg 2.98, 1 Tm 3.17
Ag 0.0000 0.4071 0.2500 x4  2 Mg 2.84, 6 Tm 2.97-3.16
Ag 0.2500 0.2500 0.0000 x4  6 Tm 2.94-3.18

Density of states at the Fermi level = 1.092 states/eV/atom
Mass density = 7.95 g/cm3
Offset from the most stable computed form = 0.512 eV per formula unit



Entry 10:
Tm2MgAg8: optimized geometry, GGA-PBE.

abc: 14.3717 4.6959 7.0872
angles: 90.00 114.52 90.00
Closest atoms and distances in Å follow each position.
Space group C2/m (No. 12)
Symmetry-distinct sites (fractional):
Tm 0.2164 0.0000 0.1494 x4  10 Ag 2.98-3.15
Mg 0.0000 0.5000 0.5000 x2  8 Ag 2.81-3.02
Ag 0.0270 0.0000 0.2249 x4  7 Ag 2.83-3.00, 1 Tm 2.98
Ag 0.0884 0.5000 0.9361 x4  1 Mg 2.81, 4 Ag 2.83-3.03, 3 Tm 2.98-3.11
Ag 0.1434 0.0000 0.6645 x4  5 Ag 2.86-3.18, 3 Tm 3.02-3.15, 2 Mg 3.02
Ag 0.1676 0.5000 0.3855 x4  1 Mg 2.84, 6 Ag 2.88-3.18, 3 Tm 3.01-3.13

Density of states at the Fermi level = 0.418 states/eV/atom
Mass density = 9.35 g/cm3
DFT total energy = -3.21 eV/atom



Entry 11:
Tm6MgAg5: optimized geometry, GGA-PBE.

abc: 5.1205 7.1533 15.3923
angles: 90.00 90.00 90.00
Closest atoms and distances in Å follow each position.
Space group Immm (No. 71)
Symmetry-distinct sites (fractional):
Tm 0.0000 0.2403 0.0000 x4  6 Ag 3.03-3.09, 2 Mg 3.16
Tm 0.0000 0.2541 0.3296 x8  7 Ag 3.09-3.20, 1 Mg 3.19
Mg 0.0000 0.0000 0.5000 x2  8 Tm 3.16-3.19, 4 Ag 3.51
Ag 0.0000 0.0000 0.1669 x4  8 Tm 3.09-3.11
Ag 0.0000 0.5000 0.1559 x4  8 Tm 3.03-3.20
Ag 0.0000 0.5000 0.5000 x2  8 Tm 3.08-3.16

Density of states at the Fermi level = 0.573 states/eV/atom
Mass density = 9.29 g/cm3
DFT total energy = -3.84 eV/atom



Entry 12:
Tm3Mg7Ag2: optimized geometry, GGA-PBE.

abc: 5.8915 5.8915 28.2550
angles: 90.00 90.00 120.00
Closest atoms and distances in Å follow each position.
Space group R-3m (No. 166, hexagonal axes)
Symmetry-distinct sites (fractional):
Tm 0.0000 0.0000 0.0000 x3  6 Ag 3.40, 12 Mg 3.71
Tm 0.0000 0.0000 0.1448 x6  12 Mg 3.46-3.50, 3 Tm 3.62
Mg 0.0000 0.0000 0.5000 x3  6 Mg 3.00
Mg 0.0039 0.5019 0.9201 x18  2 Ag 2.82-2.83, 5 Mg 2.91-3.00
Ag 0.0000 0.0000 0.3339 x6  6 Mg 2.82-2.83

Density of states at the Fermi level = 0.938 states/eV/atom
Mass density = 5.24 g/cm3
DFT total energy = -2.61 eV/atom